LiV3As | Alexandria | PBE-GGA | relaxed; calculated formation energy = 0.944 eV per atom; total magnetic moment = 0.1 μB per cell; uncorrected energy = -29.2 eV/f.u.; excess energy over the best structure of this formula in the dataset = 140 meV per atom
1.0
-1.135 1.154 3.776
-3.122 -2.667 -0.123
2.417 -2.904 1.613
As V Li
1 3 1
Cartesian
-0.920 -2.209 2.633 As
-1.561 -1.334 -0.062 V
1.209 -1.452 0.807 V
-0.567 0.577 1.888 V
0.000 0.000 0.000 Li

=====

LiV3As | Alexandria | PBE-GGA | relaxed; calculated formation energy = 0.803 eV per atom; total magnetic moment = 3.2 μB per cell; uncorrected energy = -29.9 eV/f.u.; excess energy over the best structure of this formula in the dataset = 0 meV per atom
1.0
-4.133 -1.428 -1.384
-1.379 -0.242 4.368
-1.433 4.352 -0.212
As V Li
1 3 1
Cartesian
0.000 0.000 0.000 As
-0.690 -0.121 2.184 V
-0.716 2.176 -0.106 V
-2.066 -0.714 -0.692 V
-3.472 1.341 1.386 Li

=====

LiV2AsW | Alexandria | PBE-GGA | relaxed; calculated formation energy = 1.186 eV per atom; total magnetic moment = 1.2 μB per cell; uncorrected energy = -31.8 eV/f.u.
1.0
4.088 0.000 0.000
0.000 4.311 0.000
0.000 0.000 4.088
As Li W V
1 1 1 2
Cartesian
2.044 2.156 2.044 As
0.000 0.000 0.000 Li
0.000 2.156 0.000 W
0.000 0.000 2.044 V
2.044 0.000 0.000 V

=====

LiAsW2 | Alexandria | PBE-GGA | relaxed; calculated formation energy = 0.242 eV per atom; total magnetic moment = 0.0 μB per cell; uncorrected energy = -31.5 eV/f.u.
1.0
-1.219 -3.971 1.385
4.090 -1.459 -0.565
-0.747 3.518 2.498
As Li W
1 1 2
Cartesian
1.435 -2.715 0.410 As
-0.265 -1.584 2.146 Li
0.000 0.000 0.000 W
2.389 -0.328 1.171 W

=====

LiAsW2 | Alexandria | PBE-GGA | relaxed; calculated formation energy = 0.418 eV per atom; total magnetic moment = 0.0 μB per cell; uncorrected energy = -30.8 eV/f.u.
1.0
-0.139 4.586 -2.003
-4.204 2.596 0.805
3.221 -2.584 2.831
As Li W
1 1 2
Cartesian
-1.578 1.801 1.518 As
0.455 2.796 0.114 Li
0.000 0.000 0.000 W
-2.172 3.591 -0.599 W

=====

LiAsW2 | Alexandria | PBE-GGA | relaxed; calculated formation energy = 0.609 eV per atom; total magnetic moment = 0.0 μB per cell; uncorrected energy = -30.0 eV/f.u.
1.0
2.691 0.000 0.000
0.000 4.367 0.000
0.000 0.000 5.307
As Li W
1 1 2
Cartesian
1.345 2.183 1.327 As
1.345 2.183 3.980 Li
0.000 0.000 5.271 W
0.000 0.000 2.690 W

=====

LiAsW2 | Alexandria | PBE-GGA | relaxed; calculated formation energy = 0.448 eV per atom; total magnetic moment = 0.0 μB per cell; uncorrected energy = -30.7 eV/f.u.
1.0
-3.656 3.073 -1.339
-0.871 -2.968 4.268
0.392 1.795 2.076
As Li W
1 1 2
Cartesian
-0.239 -0.586 3.172 As
-2.264 0.053 1.464 Li
0.000 0.000 0.000 W
-1.632 2.434 0.369 W

=====

LiAsW2 | Alexandria | PBE-GGA | relaxed; calculated formation energy = 0.229 eV per atom; total magnetic moment = 0.0 μB per cell; uncorrected energy = -31.6 eV/f.u.
1.0
-0.633 2.702 0.489
-1.713 -1.056 -1.972
-5.659 -2.452 6.228
As Li W
1 1 2
Cartesian
-2.807 -1.216 3.090 As
-5.378 -0.999 3.886 Li
-0.053 -0.023 0.059 W
-2.595 0.207 0.823 W

=====

LiAsW2 | Alexandria | PBE-GGA | relaxed; calculated formation energy = 0.615 eV per atom; total magnetic moment = 0.0 μB per cell; uncorrected energy = -30.0 eV/f.u.
1.0
-2.567 -1.484 3.294
3.542 -0.237 2.654
-0.475 2.776 0.881
As Li W
1 1 2
Cartesian
-1.521 0.646 2.088 As
1.534 1.270 1.768 Li
0.000 0.000 0.000 W
0.487 -0.861 2.974 W

=====

LiAsW2 | Alexandria | PBE-GGA | relaxed; calculated formation energy = 0.323 eV per atom; total magnetic moment = 0.0 μB per cell; uncorrected energy = -31.2 eV/f.u.
1.0
-0.468 -1.296 4.647
2.712 -3.900 0.969
0.608 4.474 -1.763
As Li W
1 1 2
Cartesian
1.103 -2.554 2.760 As
2.245 -1.068 1.068 Li
2.242 -5.193 5.613 W
0.627 0.299 2.837 W

=====

LiAsW2 | Alexandria | PBE-GGA | relaxed; calculated formation energy = 0.386 eV per atom; total magnetic moment = 0.0 μB per cell; uncorrected energy = -30.9 eV/f.u.
1.0
-0.940 1.432 -2.864
1.528 -3.324 -2.163
-3.774 -1.917 0.280
As Li W
1 1 2
Cartesian
-2.357 -0.243 -1.292 As
-1.123 -2.621 -0.942 Li
0.000 0.000 0.000 W
0.294 -0.946 -2.514 W

=====

LiAsW2 | Alexandria | PBE-GGA | relaxed; calculated formation energy = 0.229 eV per atom; total magnetic moment = 0.0 μB per cell; uncorrected energy = -31.6 eV/f.u.
1.0
-3.693 -0.603 -1.745
-0.787 -1.506 2.186
-1.971 4.502 2.615
As Li W
1 1 2
Cartesian
-1.258 2.062 1.949 As
-3.842 1.871 2.600 Li
-0.092 -0.152 0.248 W
-2.638 0.110 0.660 W